The following is a DFT calculation (PBE-GGA) of a geometry-optimized VNi2Ge structure.

SG: P4/mmm (123)
Density, Mg/m³: 8.15
Size of the total moment, μB per cell: 0.0
Energy of formation from the pure elements, eV per atom: -0.22
Fermi-level density of states, states/eV/cell: 4.53
Electronic total energy, eV/atom: -6.546

a = 3.748 Å, b = 3.620 Å, c = 3.620 Å
α = 90.00°, β = 90.00°, γ = 90.00°
Element x y z (fractional)
V  0.500  0.000  0.000
Ni  0.000  0.000  0.500
Ni  0.000  0.500  0.000
Ge  0.500  0.500  0.500

=====

The following is a DFT calculation (PBE-GGA) of a geometry-optimized Pm2ScPa2Rh5 structure.

SG: P4/mbm (127)
Density, Mg/m³: 10.46
Size of the total moment, μB per cell: 0.0
Energy of formation from the pure elements, eV per atom: -0.65
Fermi-level density of states, states/eV/cell: 19.51
Electronic total energy, eV/atom: -7.809

a = 3.521 Å, b = 10.877 Å, c = 10.877 Å
α = 90.00°, β = 90.00°, γ = 90.00°
Element x y z (fractional)
Pa  0.000  0.640  0.860
Pa  0.000  0.360  0.140
Pa  0.000  0.860  0.360
Pa  0.000  0.140  0.640
Rh  0.500  0.810  0.941
Rh  0.500  0.441  0.310
Rh  0.500  0.690  0.441
Rh  0.500  0.310  0.559
Rh  0.500  0.559  0.690
Rh  0.500  0.941  0.190
Rh  0.500  0.000  0.500
Rh  0.500  0.500  0.000
Rh  0.500  0.059  0.810
Rh  0.500  0.190  0.059
Pm  0.000  0.831  0.669
Pm  0.000  0.331  0.831
Pm  0.000  0.169  0.331
Pm  0.000  0.669  0.169
Sc  0.000  0.500  0.500
Sc  0.000  0.000  0.000

=====

The following is a DFT calculation (PBE-GGA) of a geometry-optimized CaCr2Tc structure.

SG: P4/mmm (123)
Density, Mg/m³: 6.25
Size of the total moment, μB per cell: 3.2
Energy relative to the lowest polymorph listed for this composition, eV per atom: 0.344
Energy of formation from the pure elements, eV per atom: 0.80
Fermi-level density of states, states/eV/cell: 3.55
Electronic total energy, eV/atom: -7.101

a = 4.530 Å, b = 4.530 Å, c = 3.134 Å
α = 90.00°, β = 90.00°, γ = 90.00°
Last column: magnetic moment on the atom in μB.
Element x y z (fractional)
Cr  0.000  0.000  0.000  1.97
Cr  0.500  0.500  0.000  1.97
Ca  0.000  0.500  0.500  0.06
Tc  0.500  0.000  0.500  -1.03

=====

The following is a DFT calculation (PBE-GGA) of a geometry-optimized Be2CoSi structure.

Formation energy without anion corrections, eV per atom: -0.2179
SG: Pmm2 (25)
Density, Mg/m³: 4.51
Size of the total moment, μB per cell: 0.0
Fermi-level density of states, states/eV/cell: 1.63
Electronic total energy, eV/atom: -5.213

a = 2.651 Å, b = 3.098 Å, c = 4.706 Å
α = 90.00°, β = 90.00°, γ = 90.00°
Element x y z (fractional)
Be  0.500  0.500  0.239
Be  0.000  0.000  0.017
Co  0.000  0.000  0.500
Si  0.500  0.500  0.743

=====

The following is a DFT calculation (PBE-GGA) of a geometry-optimized CaBiPdO6 structure.

Formation energy without anion corrections, eV per atom: -1.0846
SG: P-31c (163)
Density, Mg/m³: 5.86
Size of the total moment, μB per cell: 2.1
Fermi-level density of states, states/eV/cell: 11.06
Electronic total energy, eV/atom: -5.621

a = 5.459 Å, b = 5.459 Å, c = 9.920 Å
α = 90.00°, β = 90.00°, γ = 120.00°
Last column: magnetic moment on the atom in μB.
Element x y z (fractional)
O  0.022  0.371  0.637  0.12
O  0.629  0.651  0.637  0.12
O  0.651  0.022  0.363  0.12
O  0.651  0.629  0.137  0.12
O  0.629  0.978  0.863  0.12
O  0.371  0.022  0.137  0.12
O  0.349  0.978  0.637  0.12
O  0.978  0.349  0.137  0.12
O  0.371  0.349  0.363  0.12
O  0.022  0.651  0.863  0.12
O  0.978  0.629  0.363  0.12
O  0.349  0.371  0.863  0.12
Pd  0.333  0.667  0.750  0.21
Pd  0.667  0.333  0.250  0.21
Ca  0.000  0.000  0.500  0.00
Ca  0.000  0.000  0.000  0.00
Bi  0.333  0.667  0.250  -0.01
Bi  0.667  0.333  0.750  -0.01

=====

The following is a DFT calculation (PBE-GGA) of a geometry-optimized TlReBr structure.

Formation energy without anion corrections, eV per atom: 0.8289
SG: P3m1 (156)
Density, Mg/m³: 11.36
Size of the total moment, μB per cell: 0.0
Energy relative to the lowest polymorph listed for this composition, eV per atom: 0.000
Fermi-level density of states, states/eV/cell: 2.40
Electronic total energy, eV/atom: -4.667

a = 3.113 Å, b = 3.113 Å, c = 8.192 Å
α = 90.00°, β = 90.00°, γ = 120.00°
Element x y z (fractional)
Re  0.333  0.667  0.302
Br  0.000  0.000  0.075
Tl  0.667  0.333  0.623

=====

The following is a DFT calculation (PBE-GGA) of a geometry-optimized LiZr2SbO structure.

Formation energy without anion corrections, eV per atom: -1.2509
SG: P4/mmm (123)
Density, Mg/m³: 6.49
Size of the total moment, μB per cell: 0.0
Fermi-level density of states, states/eV/cell: 4.92
Electronic total energy, eV/atom: -6.869

a = 4.562 Å, b = 4.562 Å, c = 4.019 Å
α = 90.00°, β = 90.00°, γ = 90.00°
Element x y z (fractional)
Li  0.000  0.000  0.500
Sb  0.500  0.500  0.500
Zr  0.500  0.000  0.000
Zr  0.000  0.500  0.000
O  0.000  0.000  0.000

=====

The following is a DFT calculation (PBE-GGA) of a geometry-optimized NdGd2In structure.

SG: P4/mmm (123)
Density, Mg/m³: 7.75
Size of the total moment, μB per cell: 14.6
Energy relative to the lowest polymorph listed for this composition, eV per atom: 0.051
Energy of formation from the pure elements, eV per atom: -0.24
Fermi-level density of states, states/eV/cell: 4.07
Electronic total energy, eV/atom: -9.159

a = 3.627 Å, b = 3.627 Å, c = 9.342 Å
α = 90.00°, β = 90.00°, γ = 90.00°
Last column: magnetic moment on the atom in μB.
Element x y z (fractional)
In  0.500  0.500  0.000  -0.02
Gd  0.000  0.000  0.224  7.13
Gd  0.000  0.000  0.776  7.13
Nd  0.500  0.500  0.500  -0.04

=====

The following is a DFT calculation (PBE-GGA) of a geometry-optimized TiTl5Se5 structure.

Formation energy without anion corrections, eV per atom: -0.4700
SG: C2/m (12)
Density, Mg/m³: 7.35
Size of the total moment, μB per cell: 0.0
Fermi-level density of states, states/eV/cell: 5.19
Electronic total energy, eV/atom: -3.847

a = 5.893 Å, b = 7.713 Å, c = 8.623 Å
α = 112.06°, β = 90.00°, γ = 112.46°
Element x y z (fractional)
Se  0.500  0.000  0.000
Se  0.851  0.702  0.088
Se  0.868  0.737  0.698
Se  0.132  0.263  0.302
Se  0.149  0.298  0.912
Tl  0.706  0.412  0.293
Tl  0.000  0.000  0.500
Tl  0.633  0.265  0.786
Tl  0.367  0.735  0.214
Tl  0.294  0.588  0.707
Ti  0.000  0.000  0.000

=====

The following is a DFT calculation (PBE-GGA) of a geometry-optimized Pm2Zn2GeRh5 structure.

SG: P4/mbm (127)
Density, Mg/m³: 9.79
Size of the total moment, μB per cell: 0.0
Energy of formation from the pure elements, eV per atom: -0.57
Fermi-level density of states, states/eV/cell: 11.59
Electronic total energy, eV/atom: -5.917

a = 3.553 Å, b = 9.809 Å, c = 9.809 Å
α = 90.00°, β = 90.00°, γ = 90.00°
Element x y z (fractional)
Rh  0.500  0.061  0.802
Rh  0.500  0.802  0.939
Rh  0.500  0.198  0.061
Rh  0.500  0.939  0.198
Rh  0.500  0.000  0.500
Rh  0.500  0.302  0.561
Rh  0.500  0.698  0.439
Rh  0.500  0.561  0.698
Rh  0.500  0.500  0.000
Rh  0.500  0.439  0.302
Zn  0.000  0.874  0.374
Zn  0.000  0.626  0.874
Zn  0.000  0.126  0.626
Zn  0.000  0.374  0.126
Ge  0.000  0.000  0.000
Ge  0.000  0.500  0.500
Pm  0.000  0.827  0.673
Pm  0.000  0.173  0.327
Pm  0.000  0.673  0.173
Pm  0.000  0.327  0.827

=====

The following is a DFT calculation (PBE-GGA) of a geometry-optimized Sb2AsF structure.

Formation energy without anion corrections, eV per atom: -0.3720
SG: Fm-3m (225)
Density, Mg/m³: 6.85
Size of the total moment, μB per cell: 0.0
Energy relative to the lowest polymorph listed for this composition, eV per atom: 0.084
Fermi-level density of states, states/eV/cell: 3.89
Electronic total energy, eV/atom: -4.063

a = 4.872 Å, b = 4.872 Å, c = 4.872 Å
α = 60.00°, β = 60.00°, γ = 60.00°
Element x y z (fractional)
F  0.000  0.000  0.000
Sb  0.250  0.250  0.250
Sb  0.750  0.750  0.750
As  0.500  0.500  0.500

=====

The following is a DFT calculation (PBE-GGA) of a geometry-optimized K2RbSn structure.

SG: P4/mmm (123)
Density, Mg/m³: 2.25
Size of the total moment, μB per cell: 0.0
Energy of formation from the pure elements, eV per atom: 0.02
Fermi-level density of states, states/eV/cell: 3.98
Electronic total energy, eV/atom: -1.772

a = 4.540 Å, b = 4.540 Å, c = 10.089 Å
α = 90.00°, β = 90.00°, γ = 90.00°
Element x y z (fractional)
Rb  0.500  0.500  0.500
K  0.000  0.000  0.819
K  0.000  0.000  0.181
Sn  0.500  0.500  0.000